Material: SmY12Er2
Method: DFT, PBE
State: optimized geometry

Computed properties:
The value obtained for the formation enthalpy at 0 K is 0.3389 eV per atom. As for the symmetry: No. 125.

Cell: 6.412 6.412 25.166 Å, 90.00 90.00 90.00°
Sites, in units of the cell vectors:
Sm1 0.500 0.000 0.000
Sm2 0.000 0.500 0.000
Y1 0.500 0.500 0.784
Y2 0.000 0.000 0.784
Y3 0.683 0.817 0.884
Y4 0.183 0.683 0.884
Y5 0.000 0.000 0.339
Y6 0.317 0.817 0.116
Y7 0.831 0.331 0.561
Y8 0.500 0.500 0.339
Y9 0.317 0.183 0.884
Y10 0.817 0.683 0.116
Y11 0.331 0.169 0.561
Y12 0.669 0.169 0.439
Y13 0.000 0.000 0.661
Y14 0.169 0.331 0.439
Y15 0.183 0.317 0.116
Y16 0.831 0.669 0.439
Y17 0.669 0.831 0.561
Y18 0.000 0.000 0.216
Y19 0.169 0.669 0.561
Y20 0.500 0.500 0.661
Y21 0.817 0.317 0.884
Y22 0.500 0.500 0.216
Y23 0.331 0.831 0.439
Y24 0.683 0.183 0.116
Er1 0.500 0.000 0.275
Er2 0.000 0.500 0.275
Er3 0.000 0.500 0.725
Er4 0.500 0.000 0.725

=====

Material: Sm6YEr8
Method: DFT, PBE
State: optimized geometry

Computed properties:
The calculation puts the offset from the most stable computed form at 0.0 meV/atom. The value obtained for the formation enthalpy at 0 K is 0.1265 eV per atom. As for the symmetry: No. 148.

Cell: 9.041 9.041 8.656 Å, 58.52 58.52 60.00°
Sites, in units of the cell vectors:
Sm1 0.462 0.894 0.870
Sm2 0.106 0.226 0.130
Sm3 0.226 0.538 0.130
Sm4 0.774 0.462 0.870
Sm5 0.894 0.774 0.870
Sm6 0.538 0.106 0.130
Y1 0.000 0.000 0.000
Er1 0.719 0.111 0.424
Er2 0.889 0.254 0.576
Er3 0.254 0.281 0.576
Er4 0.577 0.577 0.270
Er5 0.423 0.423 0.730
Er6 0.746 0.719 0.424
Er7 0.111 0.746 0.424
Er8 0.281 0.889 0.576

=====

Material: Sm12YEr7
Method: DFT, PBE
State: optimized geometry

Computed properties:
The calculation puts the offset from the most stable computed form at 29.0 meV/atom. The value obtained for the formation enthalpy at 0 K is 0.2876 eV per atom. As for the symmetry: No. 148.

Cell: 8.775 8.775 8.775 Å, 94.50 94.50 94.50°
Sites, in units of the cell vectors:
Sm1 0.816 0.250 0.685
Sm2 0.750 0.315 0.184
Sm3 0.476 0.146 0.413
Sm4 0.854 0.587 0.524
Sm5 0.315 0.184 0.750
Sm6 0.587 0.524 0.854
Sm7 0.413 0.476 0.146
Sm8 0.685 0.816 0.250
Sm9 0.146 0.413 0.476
Sm10 0.524 0.854 0.587
Sm11 0.250 0.685 0.816
Sm12 0.184 0.750 0.315
Y1 0.000 0.000 0.000
Er1 0.917 0.651 0.980
Er2 0.349 0.020 0.083
Er3 0.020 0.083 0.349
Er4 0.500 0.500 0.500
Er5 0.980 0.917 0.651
Er6 0.651 0.980 0.917
Er7 0.083 0.349 0.020

=====

Material: Sm2Y7Er2
Method: DFT, PBE
State: optimized geometry

Computed properties:
The calculation puts the offset from the most stable computed form at 64.2 meV/atom. The value obtained for the formation enthalpy at 0 K is 0.1702 eV per atom. As for the symmetry: No. 12.

Cell: 8.132 9.622 9.622 Å, 53.26 44.71 44.71°
Sites, in units of the cell vectors:
Sm1 0.500 0.206 0.794
Sm2 0.500 0.794 0.206
Y1 0.256 0.480 0.081
Y2 0.744 0.919 0.520
Y3 0.744 0.520 0.919
Y4 0.256 0.081 0.480
Y5 0.291 0.447 0.447
Y6 0.000 0.000 0.000
Y7 0.709 0.553 0.553
Er1 0.083 0.730 0.730
Er2 0.917 0.270 0.270

=====

Material: Sm8Y3Er
Method: DFT, PBE
State: optimized geometry

Computed properties:
The value obtained for the formation enthalpy at 0 K is 0.1176 eV per atom. As for the symmetry: No. 12.

Cell: 11.976 12.703 9.816 Å, 147.18 90.00 118.12°
Sites, in units of the cell vectors:
Sm1 0.322 0.644 0.974
Sm2 0.678 0.356 0.026
Sm3 0.319 0.145 0.980
Sm4 0.826 0.145 0.980
Sm5 0.822 0.644 0.981
Sm6 0.178 0.356 0.019
Sm7 0.174 0.855 0.020
Sm8 0.681 0.855 0.020
Y1 0.500 0.000 0.000
Y2 0.500 0.500 0.000
Y3 0.000 0.500 0.000
Er1 0.000 0.000 0.000

=====

Material: Sm2Y2Er3
Method: DFT, PBE
State: optimized geometry

Computed properties:
The calculation puts the offset from the most stable computed form at 115.4 meV/atom. The value obtained for the formation enthalpy at 0 K is 0.2335 eV per atom. As for the symmetry: No. 199.

Cell: 8.415 8.415 8.415 Å, 109.47 109.47 109.47°
Sites, in units of the cell vectors:
Sm1 0.000 0.000 0.812
Sm2 0.500 0.812 0.500
Sm3 0.188 0.688 0.688
Sm4 0.312 0.500 0.000
Y1 0.000 0.000 0.411
Y2 0.500 0.411 0.500
Y3 0.589 0.089 0.089
Y4 0.911 0.500 0.000
Er1 0.690 0.750 0.940
Er2 0.810 0.250 0.560
Er3 0.060 0.310 0.250
Er4 0.440 0.190 0.750
Er5 0.250 0.940 0.190
Er6 0.750 0.560 0.310

=====

Material: Sm2Y3Er8
Method: DFT, PBE
State: optimized geometry

Computed properties:
The value obtained for the formation enthalpy at 0 K is 0.2487 eV per atom. As for the symmetry: No. 12.

Cell: 5.540 7.557 10.959 Å, 110.17 90.01 90.00°
Sites, in units of the cell vectors:
Sm1 0.500 0.241 0.482
Sm2 0.500 0.759 0.518
Y1 0.500 0.000 0.000
Y2 0.000 0.285 0.000
Y3 0.000 0.715 0.000
Er1 0.000 0.664 0.327
Er2 0.000 0.336 0.673
Er3 0.000 0.131 0.263
Er4 0.000 0.869 0.737
Er5 0.500 0.605 0.783
Er6 0.500 0.178 0.783
Er7 0.500 0.822 0.217
Er8 0.500 0.395 0.217

=====

Material: Sm2Y4Er7
Method: DFT, PBE
State: optimized geometry

Computed properties:
The value obtained for the formation enthalpy at 0 K is 0.1761 eV per atom. As for the symmetry: No. 162.

Cell: 6.045 6.045 13.301 Å, 90.00 90.00 120.00°
Sites, in units of the cell vectors:
Sm1 0.667 0.333 0.000
Sm2 0.333 0.667 0.000
Y1 0.000 0.000 0.606
Y2 0.000 0.000 0.394
Y3 0.667 0.333 0.500
Y4 0.333 0.667 0.500
Er1 0.000 0.647 0.785
Er2 0.000 0.353 0.215
Er3 0.000 0.000 0.000
Er4 0.647 0.000 0.785
Er5 0.353 0.000 0.215
Er6 0.647 0.647 0.215
Er7 0.353 0.353 0.785

=====

Material: Sm5Y2Er4
Method: DFT, PBE
State: optimized geometry

Computed properties:
The value obtained for the formation enthalpy at 0 K is 0.0836 eV per atom. As for the symmetry: No. 2.

Cell: 6.631 8.902 9.098 Å, 67.65 67.88 47.33°
Sites, in units of the cell vectors:
Sm1 0.594 0.184 0.865
Sm2 0.406 0.816 0.135
Sm3 0.000 0.000 0.500
Sm4 0.236 0.706 0.893
Sm5 0.764 0.294 0.107
Y1 0.286 0.090 0.704
Y2 0.714 0.910 0.296
Er1 0.300 0.477 0.450
Er2 0.700 0.523 0.550
Er3 0.892 0.601 0.803
Er4 0.108 0.399 0.197

=====

Material: Sm7Y3Er2
Method: DFT, PBE
State: optimized geometry

Computed properties:
The calculation puts the offset from the most stable computed form at 0.0 meV/atom. The value obtained for the formation enthalpy at 0 K is 0.1565 eV per atom. As for the symmetry: No. 65.

Cell: 3.616 5.891 19.181 Å, 98.83 90.00 90.00°
Sites, in units of the cell vectors:
Sm1 0.000 0.427 0.853
Sm2 0.000 0.731 0.463
Sm3 0.000 0.000 0.000
Sm4 0.000 0.573 0.147
Sm5 0.500 0.092 0.185
Sm6 0.500 0.908 0.815
Sm7 0.000 0.269 0.537
Y1 0.500 0.500 0.000
Y2 0.500 0.652 0.304
Y3 0.500 0.348 0.696
Er1 0.000 0.823 0.646
Er2 0.000 0.177 0.354

=====

Material: Sm8YEr5
Method: DFT, PBE
State: optimized geometry

Computed properties:
The value obtained for the formation enthalpy at 0 K is 0.2533 eV per atom. As for the symmetry: No. 82.

Cell: 8.507 8.507 8.507 Å, 111.19 106.08 111.19°
Sites, in units of the cell vectors:
Sm1 0.164 0.736 0.078
Sm2 0.922 0.085 0.657
Sm3 0.729 0.256 0.334
Sm4 0.666 0.395 0.923
Sm5 0.527 0.605 0.271
Sm6 0.572 0.915 0.836
Sm7 0.343 0.264 0.428
Sm8 0.077 0.744 0.473
Y1 0.250 0.500 0.750
Er1 0.037 0.315 0.132
Er2 0.868 0.904 0.183
Er3 0.817 0.685 0.721
Er4 0.500 0.000 0.500
Er5 0.279 0.096 0.963

=====

Material: Sm2Y3Er6
Method: DFT, PBE
State: optimized geometry

Computed properties:
The calculation puts the offset from the most stable computed form at 0.0 meV/atom. The value obtained for the formation enthalpy at 0 K is 0.1947 eV per atom. As for the symmetry: No. 12.

Cell: 6.092 6.100 11.627 Å, 84.95 79.85 60.04°
Sites, in units of the cell vectors:
Sm1 0.167 0.667 0.500
Sm2 0.833 0.333 0.500
Y1 0.000 0.000 0.000
Y2 0.335 0.330 0.000
Y3 0.665 0.670 0.000
Er1 0.417 0.666 0.751
Er2 0.750 0.000 0.751
Er3 0.083 0.334 0.751
Er4 0.250 0.000 0.249
Er5 0.583 0.334 0.249
Er6 0.917 0.666 0.249

=====

Material: Sm7Y6Er16
Method: DFT, PBE
State: optimized geometry

Computed properties:
The value obtained for the formation enthalpy at 0 K is 0.2490 eV per atom. As for the symmetry: No. 225.

Cell: 11.118 11.118 11.118 Å, 60.00 60.00 60.00°
Sites, in units of the cell vectors:
Sm1 0.000 0.000 0.000
Sm2 0.500 0.000 0.500
Sm3 0.000 0.500 0.000
Sm4 0.000 0.500 0.500
Sm5 0.500 0.000 0.000
Sm6 0.000 0.000 0.500
Sm7 0.500 0.500 0.000
Y1 0.273 0.727 0.273
Y2 0.727 0.273 0.727
Y3 0.727 0.273 0.273
Y4 0.273 0.727 0.727
Y5 0.727 0.727 0.273
Y6 0.273 0.273 0.727
Er1 0.875 0.875 0.376
Er2 0.875 0.875 0.875
Er3 0.875 0.376 0.875
Er4 0.376 0.875 0.875
Er5 0.125 0.125 0.125
Er6 0.125 0.125 0.624
Er7 0.125 0.624 0.125
Er8 0.624 0.125 0.125
Er9 0.653 0.653 0.042
Er10 0.653 0.653 0.653
Er11 0.653 0.042 0.653
Er12 0.042 0.653 0.653
Er13 0.347 0.347 0.347
Er14 0.347 0.347 0.958
Er15 0.347 0.958 0.347
Er16 0.958 0.347 0.347

=====

Material: Sm5Y2Er12
Method: DFT, PBE
State: optimized geometry

Computed properties:
The calculation puts the offset from the most stable computed form at 0.0 meV/atom. The value obtained for the formation enthalpy at 0 K is 0.0630 eV per atom. As for the symmetry: No. 2.

Cell: 6.260 9.033 13.780 Å, 128.15 94.73 91.90°
Sites, in units of the cell vectors:
Sm1 0.273 0.504 0.555
Sm2 0.122 0.669 0.156
Sm3 0.000 0.000 0.500
Sm4 0.878 0.331 0.844
Sm5 0.727 0.496 0.445
Y1 0.544 0.840 0.844
Y2 0.456 0.160 0.156
Er1 0.984 0.110 0.269
Er2 0.073 0.786 0.952
Er3 0.601 0.728 0.056
Er4 0.177 0.545 0.340
Er5 0.644 0.608 0.252
Er6 0.504 0.936 0.611
Er7 0.496 0.064 0.389
Er8 0.823 0.455 0.660
Er9 0.356 0.392 0.748
Er10 0.927 0.214 0.048
Er11 0.399 0.272 0.944
Er12 0.016 0.890 0.731

=====

Material: Sm5Y4Er2
Method: DFT, PBE
State: optimized geometry

Computed properties:
The calculation puts the offset from the most stable computed form at 114.3 meV/atom. The value obtained for the formation enthalpy at 0 K is 0.2319 eV per atom. As for the symmetry: No. 71.

Cell: 3.529 9.106 12.725 Å, 110.96 97.97 90.00°
Sites, in units of the cell vectors:
Sm1 0.853 0.053 0.706
Sm2 0.853 0.653 0.706
Sm3 0.147 0.347 0.294
Sm4 0.147 0.947 0.294
Sm5 0.500 0.000 0.000
Y1 0.000 0.310 0.000
Y2 0.598 0.598 0.196
Y3 0.000 0.690 0.000
Y4 0.402 0.402 0.804
Er1 0.269 0.269 0.538
Er2 0.731 0.731 0.462

=====

Material: Sm3Y2Er3
Method: DFT, PBE
State: optimized geometry

Computed properties:
The calculation puts the offset from the most stable computed form at 0.0 meV/atom. The value obtained for the formation enthalpy at 0 K is 0.0139 eV per atom. As for the symmetry: No. 59.

Cell: 6.302 5.673 14.598 Å, 90.00 90.00 90.01°
Sites, in units of the cell vectors:
Sm1 0.829 0.750 0.375
Sm2 0.171 0.250 0.875
Sm3 0.829 0.750 0.125
Sm4 0.171 0.250 0.625
Sm5 0.662 0.250 0.250
Sm6 0.338 0.750 0.750
Y1 0.835 0.750 0.876
Y2 0.165 0.250 0.376
Y3 0.835 0.750 0.624
Y4 0.165 0.250 0.124
Er1 0.665 0.250 0.501
Er2 0.335 0.750 0.001
Er3 0.665 0.250 0.999
Er4 0.335 0.750 0.499
Er5 0.330 0.749 0.250
Er6 0.670 0.251 0.750

=====

Material: Sm4Y6Er
Method: DFT, PBE
State: optimized geometry

Computed properties:
The calculation puts the offset from the most stable computed form at 0.0 meV/atom. The value obtained for the formation enthalpy at 0 K is 0.1197 eV per atom. As for the symmetry: No. 63.

Cell: 5.758 5.640 25.866 Å, 90.00 90.00 120.69°
Sites, in units of the cell vectors:
Sm1 0.843 0.686 0.544
Sm2 0.471 0.942 0.122
Sm3 0.157 0.314 0.456
Sm4 0.529 0.058 0.878
Sm5 0.843 0.686 0.956
Sm6 0.157 0.314 0.044
Sm7 0.529 0.058 0.622
Sm8 0.471 0.942 0.378
Y1 0.500 0.000 0.000
Y2 0.500 0.000 0.500
Y3 0.146 0.291 0.317
Y4 0.854 0.709 0.683
Y5 0.854 0.709 0.817
Y6 0.146 0.291 0.183
Y7 0.811 0.621 0.394
Y8 0.189 0.379 0.606
Y9 0.189 0.379 0.894
Y10 0.811 0.621 0.106
Y11 0.483 0.966 0.250
Y12 0.517 0.034 0.750
Er1 0.817 0.634 0.250
Er2 0.183 0.366 0.750